1.
SnSO2: optimized geometry, PBE.

Values from the calculation:
**Crystal system**: cubic
**Magnetic moment**: 0.000 μB per atom
**Total DFT energy (no corrections)**: -4.198 eV per atom
**Formation energy (no corrections)**: 314.0 meV/atom

abc: 5.8834 5.8834 5.8834
angles: 90.00 90.00 90.00
Closest atoms and distances in Å follow each position.
Space group Fm-3m (No. 225)
Asymmetric unit:
1 Sn 0.0000 0.0000 0.0000 [4 per cell]  8 O 2.55
2 S 0.0000 0.0000 0.5000 [4 per cell]  8 O 2.55
3 O 0.2500 0.2500 0.2500 [8 per cell]  4 S 2.55, 4 Sn 2.55

2.
SnSO2: optimized geometry, PBE.

Values from the calculation:
**Crystal system**: trigonal
**Magnetic moment**: 0.036 μB per atom
**Total DFT energy (no corrections)**: -4.999 eV per atom
**Formation energy (no corrections)**: -487.1 meV/atom

abc: 3.4167 3.4167 18.3571
angles: 90.00 90.00 120.00
Closest atoms and distances in Å follow each position.
Space group R-3m (No. 166, hexagonal axes)
Asymmetric unit:
1 Sn 0.0000 0.0000 0.0000 [3 per cell]  6 O 2.21
2 S 0.0000 0.0000 0.5000 [3 per cell]  2 O 2.05
3 O 0.0000 0.0000 0.3882 [6 per cell]  1 S 2.05, 3 Sn 2.21

3.
SnSO3: optimized geometry, PBE.

Values from the calculation:
**Crystal system**: cubic
**Magnetic moment**: 0.000 μB per atom
**Total DFT energy (no corrections)**: -4.980 eV per atom
**Formation energy (no corrections)**: -379.4 meV/atom

abc: 3.8570 3.8570 3.8570
angles: 90.00 90.00 90.00
Closest atoms and distances in Å follow each position.
Space group Pm-3m (No. 221)
Asymmetric unit:
1 Sn 0.0000 0.0000 0.0000 [1 per cell]  12 O 2.73
2 S 0.5000 0.5000 0.5000 [1 per cell]  6 O 1.93
3 O 0.0000 0.5000 0.5000 [3 per cell]  2 S 1.93